Compound: Zr2TlPPt
Source: the Alexandria database
Functional: PBE
Structure: optimized geometry

Cell and atoms, written as CIF:
```
data_Zr2TlPPt
_symmetry_space_group_name_H-M 'P 1'
_symmetry_Int_Tables_number 1
_cell_length_a 5.138
_cell_length_b 5.138
_cell_length_c 5.035
_cell_angle_alpha 90.00
_cell_angle_beta 90.00
_cell_angle_gamma 90.00
loop_
_symmetry_equiv_pos_as_xyz
'x,y,z'
loop_
_atom_site_label
_atom_site_type_symbol
_atom_site_fract_x
_atom_site_fract_y
_atom_site_fract_z
Zr1 Zr 0.000 0.500 0.000
Zr2 Zr 0.500 0.000 0.000
Tl1 Tl 0.000 0.000 0.500
P1 P 0.500 0.500 0.500
Pt1 Pt 0.000 0.000 0.000
```

space-group type	No. 123
DOS(E_F)	3.21	states/eV/cell
final energy	-5.805	eV per atom
formation enthalpy at 0 K	0.38	eV/atom
crystal system	tetragonal